Entry 1:
Ho4Bi2Ru | Alexandria | PBE-GGA | optimized geometry; space group = Pbam; E_form = -55 kJ/mol of atoms
1.0
7.944 0.000 0.000
0.000 12.150 0.000
0.000 0.000 4.351
Ho Bi Ru
8 4 2
Direct
0.129 0.195 0.000
0.209 0.942 0.500
0.291 0.442 0.500
0.371 0.695 0.000
0.629 0.305 0.000
0.709 0.558 0.500
0.791 0.058 0.500
0.871 0.805 0.000
0.080 0.672 0.500
0.420 0.172 0.500
0.580 0.828 0.500
0.920 0.328 0.500
0.000 0.000 0.000
0.500 0.500 0.000



Entry 2:
Sc6Co2Sn | Alexandria | PBE-GGA | optimized geometry; space group = Immm; E_form = -39 kJ/mol of atoms
1.0
-4.410 4.457 4.637
4.410 -4.457 4.637
4.410 4.457 -4.637
Sc Co Sn
12 4 2
Direct
0.023 0.237 0.785
0.188 0.284 0.471
0.188 0.716 0.904
0.323 0.017 0.694
0.323 0.629 0.306
0.452 0.237 0.215
0.548 0.763 0.785
0.677 0.371 0.694
0.677 0.983 0.306
0.812 0.284 0.096
0.812 0.716 0.529
0.977 0.763 0.215
0.120 0.620 0.500
0.346 0.000 0.346
0.654 0.000 0.654
0.880 0.380 0.500
0.000 0.000 0.000
0.500 0.500 0.000



Entry 3:
TmUCu | Alexandria | PBE-GGA | optimized geometry; space group = Cmcm; E_form = 4 kJ/mol of atoms
1.0
3.154 0.000 0.000
0.000 16.131 0.000
0.000 0.000 4.896
Tm U Cu
4 4 4
Direct
0.000 0.073 0.250
0.000 0.927 0.750
0.500 0.427 0.750
0.500 0.573 0.250
0.000 0.240 0.750
0.000 0.760 0.250
0.500 0.260 0.250
0.500 0.740 0.750
0.000 0.411 0.250
0.000 0.589 0.750
0.500 0.089 0.750
0.500 0.911 0.250



Entry 4:
SrLiAu3 | Alexandria | PBE-GGA | optimized geometry; space group = P6_3/mmc; E_form = -54 kJ/mol of atoms; polymorph energy (0 for the lowest one) = 0.000 eV/atom
1.0
6.710 0.000 0.000
-3.355 5.811 0.000
0.000 0.000 5.669
Sr Li Au
2 2 6
Direct
0.333 0.667 0.250
0.667 0.333 0.750
0.000 0.000 0.000
0.000 0.000 0.500
0.190 0.379 0.750
0.190 0.810 0.750
0.379 0.190 0.250
0.621 0.810 0.750
0.810 0.190 0.250
0.810 0.621 0.250



Entry 5:
HgTe2Se | Alexandria | PBE-GGA | optimized geometry; space group = P4/mmm; polymorph energy (0 for the lowest one) = 0.329 eV/atom
1.0
5.366 0.000 0.000
0.000 5.366 0.000
0.000 0.000 3.587
Hg Te Se
1 2 1
Direct
0.000 0.000 0.000
0.000 0.500 0.500
0.500 0.000 0.500
0.500 0.500 0.000



Entry 6:
ScNbNi | Alexandria | PBE-GGA | optimized geometry; space group = Cm; E_form = -13 kJ/mol of atoms; polymorph energy (0 for the lowest one) = 0.033 eV/atom
1.0
10.225 0.000 0.000
0.000 3.091 0.000
-4.133 0.000 6.585
Sc Nb Ni
4 4 4
Direct
0.000 0.000 0.000
0.092 0.500 0.706
0.500 0.500 0.000
0.592 0.000 0.706
0.248 0.500 0.402
0.324 0.000 0.141
0.748 0.000 0.402
0.824 0.500 0.141
0.038 0.000 0.395
0.308 0.000 0.703
0.538 0.500 0.395
0.808 0.500 0.703



Entry 7:
NaAlH6Ru | Alexandria | PBE-GGA | optimized geometry; space group = P312; uncorrected energy = -36.53 eV/cell
1.0
4.420 0.000 0.000
-2.210 3.827 0.000
0.000 0.000 5.184
Na Al H Ru
1 1 6 1
Direct
0.000 0.000 0.000
0.333 0.667 0.500
0.370 0.031 0.706
0.370 0.339 0.294
0.661 0.031 0.294
0.661 0.630 0.706
0.969 0.339 0.706
0.969 0.630 0.294
0.667 0.333 0.500



Entry 8:
LiAcAl | Alexandria | PBE-GGA | optimized geometry; space group = I4mm; E_form = -1 kJ/mol of atoms; polymorph energy (0 for the lowest one) = 0.152 eV/atom
1.0
3.724 0.000 0.000
0.000 3.724 0.000
0.000 0.000 11.634
Li Ac Al
2 2 2
Direct
0.000 0.000 0.000
0.500 0.500 0.500
0.000 0.000 0.711
0.500 0.500 0.211
0.000 0.000 0.397
0.500 0.500 0.897



Entry 9:
Cr4TeIr | Alexandria | PBE-GGA | optimized geometry; space group = F-43m; uncorrected energy = -48.01 eV/cell
1.0
0.000 3.443 3.443
3.443 0.000 3.443
3.443 3.443 0.000
Cr Te Ir
4 1 1
Direct
0.376 0.376 0.376
0.376 0.376 0.873
0.376 0.873 0.376
0.873 0.376 0.376
0.750 0.750 0.750
0.000 0.000 0.000



Entry 10:
NaCa3Sb2 | Alexandria | PBE-GGA | optimized geometry; space group = Ibam; uncorrected energy = -40.20 eV/cell
1.0
-3.317 8.415 3.321
3.317 -8.415 3.321
3.317 8.415 -3.321
Na Ca Sb
2 6 4
Direct
0.250 0.250 0.000
0.750 0.750 0.000
0.179 0.237 0.415
0.250 0.750 0.500
0.321 0.737 0.058
0.679 0.263 0.942
0.750 0.250 0.500
0.821 0.763 0.585
0.132 0.740 0.872
0.368 0.240 0.607
0.632 0.760 0.393
0.868 0.260 0.128



Entry 11:
Pm4Al5Ge6 | Alexandria | PBE-GGA | optimized geometry; space group = Cmc2_1; E_form = -47 kJ/mol of atoms
1.0
2.124 -9.873 0.000
2.124 9.873 0.000
0.000 0.000 15.684
Pm Al Ge
8 10 12
Direct
0.014 0.986 0.500
0.041 0.959 0.773
0.166 0.834 0.310
0.187 0.813 0.953
0.813 0.187 0.453
0.834 0.166 0.810
0.959 0.041 0.273
0.986 0.014 0.000
0.146 0.854 0.632
0.305 0.695 0.623
0.340 0.660 0.293
0.361 0.639 0.977
0.441 0.559 0.690
0.559 0.441 0.190
0.639 0.361 0.477
0.660 0.340 0.793
0.695 0.305 0.123
0.854 0.146 0.132
0.110 0.890 0.122
0.208 0.792 0.496
0.227 0.773 0.760
0.421 0.579 0.417
0.433 0.567 0.131
0.445 0.555 0.855
0.555 0.445 0.355
0.567 0.433 0.631
0.579 0.421 0.917
0.773 0.227 0.260
0.792 0.208 0.996
0.890 0.110 0.622



Entry 12:
KTl3Au3 | Alexandria | PBE-GGA | optimized geometry; space group = Pm-3n; E_form = 1 kJ/mol of atoms; polymorph energy (0 for the lowest one) = 0.149 eV/atom
1.0
7.956 0.000 0.000
0.000 7.956 0.000
0.000 0.000 7.956
K Tl Au
2 6 6
Direct
0.000 0.000 0.000
0.500 0.500 0.500
0.000 0.250 0.500
0.000 0.750 0.500
0.250 0.500 0.000
0.500 0.000 0.250
0.500 0.000 0.750
0.750 0.500 0.000
0.000 0.500 0.250
0.000 0.500 0.750
0.250 0.000 0.500
0.500 0.250 0.000
0.500 0.750 0.000
0.750 0.000 0.500



Entry 13:
Pr3In2I2 | Alexandria | PBE-GGA | optimized geometry; space group = P-1; uncorrected energy = -27.97 eV/cell
1.0
4.543 0.000 0.000
2.271 5.731 0.000
0.015 2.971 9.409
Pr In I
3 2 2
Direct
0.000 0.000 0.000
0.210 0.582 0.716
0.790 0.418 0.284
0.325 0.350 0.070
0.675 0.650 0.930
0.099 0.800 0.357
0.901 0.200 0.643



Entry 14:
KCa3Ag4F12 | Alexandria | PBE-GGA | optimized geometry; space group = R32; uncorrected energy = -89.76 eV/cell
1.0
6.250 3.609 2.808
-6.250 3.609 2.808
0.000 -7.217 2.808
K Ca Ag F
1 3 4 12
Direct
0.000 0.000 0.000
0.000 0.572 0.428
0.428 0.000 0.572
0.572 0.428 0.000
0.096 0.500 0.904
0.500 0.500 0.500
0.500 0.904 0.096
0.904 0.096 0.500
0.006 0.260 0.351
0.096 0.904 0.500
0.260 0.351 0.006
0.324 0.676 0.500
0.351 0.006 0.260
0.500 0.096 0.904
0.500 0.324 0.676
0.649 0.740 0.994
0.676 0.500 0.324
0.740 0.994 0.649
0.904 0.500 0.096
0.994 0.649 0.740



Entry 15:
BaBi2Sb2 | Alexandria | PBE-GGA | optimized geometry; space group = Cmcm; polymorph energy (0 for the lowest one) = 0.000 eV/atom
1.0
2.265 -15.871 0.000
2.265 15.871 0.000
0.000 0.000 4.894
Ba Bi Sb
2 4 4
Direct
0.162 0.838 0.750
0.838 0.162 0.250
0.059 0.941 0.250
0.465 0.535 0.250
0.535 0.465 0.750
0.941 0.059 0.750
0.247 0.753 0.250
0.375 0.625 0.750
0.625 0.375 0.250
0.753 0.247 0.750



Entry 16:
Rb2PaTe5 | Alexandria | PBE-GGA | optimized geometry; space group = C2; uncorrected energy = -65.81 eV/cell
1.0
18.580 0.000 0.000
0.000 6.436 0.000
-2.111 0.000 5.910
Rb Pa Te
4 2 10
Direct
0.147 0.000 0.146
0.353 0.500 0.854
0.647 0.500 0.146
0.853 0.000 0.854
0.000 0.531 0.500
0.500 0.031 0.500
0.000 0.001 0.500
0.145 0.499 0.393
0.145 0.499 0.897
0.355 0.999 0.103
0.355 0.999 0.607
0.500 0.501 0.500
0.645 0.999 0.393
0.645 0.999 0.897
0.855 0.499 0.103
0.855 0.499 0.607



Entry 17:
AcMg2Pb2 | Alexandria | PBE-GGA | optimized geometry; space group = P4/mmm; E_form = -28 kJ/mol of atoms; polymorph energy (0 for the lowest one) = 0.030 eV/atom
1.0
4.631 0.000 0.000
0.000 4.631 0.000
0.000 0.000 7.014
Ac Mg Pb
1 2 2
Direct
0.000 0.000 0.000
0.000 0.500 0.500
0.500 0.000 0.500
0.500 0.500 0.222
0.500 0.500 0.778



Entry 18:
Pt2RhW | Alexandria | PBE-GGA | optimized geometry; space group = P4mm; E_form = -20 kJ/mol of atoms; polymorph energy (0 for the lowest one) = 0.093 eV/atom
1.0
2.779 0.000 0.000
0.000 2.779 0.000
0.000 0.000 7.951
Pt Rh W
2 1 1
Direct
0.000 0.000 0.000
0.500 0.500 0.265
0.000 0.000 0.525
0.500 0.500 0.755



Entry 19:
Mn2MoP | Alexandria | PBE-GGA | optimized geometry; space group = P2/m; E_form = -10 kJ/mol of atoms
1.0
3.931 0.000 0.000
0.000 3.262 0.000
-0.009 0.000 3.976
Mn Mo P
2 1 1
Direct
0.000 0.000 0.000
0.500 0.500 0.000
0.000 0.500 0.500
0.500 0.000 0.500



Entry 20:
Li4AlPb3 | Alexandria | PBE-GGA | optimized geometry; space group = P4/mmm; E_form = -20 kJ/mol of atoms
1.0
3.486 0.000 0.000
0.000 3.486 0.000
0.000 0.000 13.700
Li Al Pb
4 1 3
Direct
0.000 0.000 0.106
0.000 0.000 0.365
0.000 0.000 0.635
0.000 0.000 0.894
0.500 0.500 0.000
0.500 0.500 0.232
0.500 0.500 0.500
0.500 0.500 0.768



Entry 21:
ZnCd2Ge2Rh5 | Alexandria | PBE-GGA | optimized geometry; space group = P4/mbm; E_form = -29 kJ/mol of atoms
1.0
9.928 0.000 0.000
0.000 9.928 0.000
0.000 0.000 3.236
Zn Cd Ge Rh
2 4 4 10
Direct
0.000 0.000 0.000
0.500 0.500 0.000
0.172 0.328 0.000
0.328 0.828 0.000
0.672 0.172 0.000
0.828 0.672 0.000
0.133 0.633 0.000
0.367 0.133 0.000
0.633 0.867 0.000
0.867 0.367 0.000
0.000 0.500 0.500
0.070 0.803 0.500
0.197 0.070 0.500
0.303 0.570 0.500
0.430 0.303 0.500
0.500 0.000 0.500
0.570 0.697 0.500
0.697 0.430 0.500
0.803 0.930 0.500
0.930 0.197 0.500



Entry 22:
Tb2PmY4Ho2 | Alexandria | PBE-GGA | optimized geometry; space group = C2/m; E_form = 0 kJ/mol of atoms
1.0
9.344 -1.799 0.000
9.344 1.799 0.000
-4.155 0.000 8.615
Tb Pm Y Ho
2 1 4 2
Direct
0.148 0.148 0.167
0.852 0.852 0.833
0.000 0.000 0.500
0.186 0.186 0.834
0.481 0.481 0.165
0.519 0.519 0.835
0.814 0.814 0.166
0.332 0.332 0.500
0.668 0.668 0.500